Record 1
# CaLaAl2, relaxed, DFT PBE
data_CaLaAl2
_symmetry_space_group_name_H-M 'P 4 m m'
_symmetry_Int_Tables_number 99
_symmetry_space_group_name_Hall 'P 4 -2'
_cell_length_a 3.487
_cell_length_b 3.487
_cell_length_c 8.936
_cell_angle_alpha 90.00
_cell_angle_beta 90.00
_cell_angle_gamma 90.00
loop_
_atom_site_label
_atom_site_type_symbol
_atom_site_fract_x
_atom_site_fract_y
_atom_site_fract_z
_atom_site_occupancy
Ca1 Ca 0.000 0.000 0.000 1
La1 La 0.500 0.500 0.366 1
Al1 Al 0.000 0.000 0.606 1
Al2 Al 0.500 0.500 0.756 1
# Raw total energy ... -14.95 eV per cell
# V ... 27.2 Å³ per atom


Record 2
# CaLa3Al, relaxed, DFT PBE
data_CaLa3Al
_symmetry_space_group_name_H-M 'P m -3 m'
_symmetry_Int_Tables_number 221
_symmetry_space_group_name_Hall '-P 4 2 3'
_cell_length_a 5.734
_cell_length_b 5.734
_cell_length_c 5.734
_cell_angle_alpha 90.00
_cell_angle_beta 90.00
_cell_angle_gamma 90.00
loop_
_atom_site_label
_atom_site_type_symbol
_atom_site_fract_x
_atom_site_fract_y
_atom_site_fract_z
_atom_site_occupancy
Ca1 Ca 0.000 0.000 0.000 1
La1 La 0.000 0.000 0.500 1
Al1 Al 0.500 0.500 0.500 1
# Raw total energy ... -16.18 eV per cell
# V ... 37.7 Å³ per atom


Record 3
# CaLaAl2, relaxed, DFT PBE
data_CaLaAl2
_symmetry_space_group_name_H-M 'F -4 3 m'
_symmetry_Int_Tables_number 216
_symmetry_space_group_name_Hall 'F -4 2 3'
_cell_length_a 7.399
_cell_length_b 7.399
_cell_length_c 7.399
_cell_angle_alpha 90.00
_cell_angle_beta 90.00
_cell_angle_gamma 90.00
loop_
_atom_site_label
_atom_site_type_symbol
_atom_site_fract_x
_atom_site_fract_y
_atom_site_fract_z
_atom_site_occupancy
Ca1 Ca 0.000 0.000 0.000 1
La1 La 0.250 0.250 0.250 1
Al1 Al 0.000 0.000 0.500 1
Al2 Al 0.250 0.250 0.750 1
# Raw total energy ... -56.83 eV per cell
# V ... 25.3 Å³ per atom


Record 4
# CaLa3Al, relaxed, DFT PBE
data_CaLa3Al
_symmetry_space_group_name_H-M 'P m -3 m'
_symmetry_Int_Tables_number 221
_symmetry_space_group_name_Hall '-P 4 2 3'
_cell_length_a 5.932
_cell_length_b 5.932
_cell_length_c 5.932
_cell_angle_alpha 90.00
_cell_angle_beta 90.00
_cell_angle_gamma 90.00
loop_
_atom_site_label
_atom_site_type_symbol
_atom_site_fract_x
_atom_site_fract_y
_atom_site_fract_z
_atom_site_occupancy
Ca1 Ca 0.000 0.000 0.000 1
La1 La 0.000 0.500 0.500 1
Al1 Al 0.500 0.500 0.500 1
# Raw total energy ... -19.57 eV per cell
# V ... 41.8 Å³ per atom


Record 5
# Ca2LaAl6, relaxed, DFT PBE
data_Ca2LaAl6
_symmetry_space_group_name_H-M 'P 6/m m m'
_symmetry_Int_Tables_number 191
_symmetry_space_group_name_Hall '-P 6 2'
_cell_length_a 8.0586
_cell_length_b 8.0586
_cell_length_c 3.7135
_cell_angle_alpha 90.00
_cell_angle_beta 90.00
_cell_angle_gamma 120.00
loop_
_atom_site_label
_atom_site_type_symbol
_atom_site_fract_x
_atom_site_fract_y
_atom_site_fract_z
_atom_site_occupancy
Ca1 Ca 0.3333 0.6667 0.0000 1
La1 La 0.0000 0.0000 0.0000 1
Al1 Al 0.0000 0.3343 0.5000 1
# Raw total energy ... -34.26 eV per cell
# V ... 23.2 Å³ per atom


Record 6
# CaLaAl2, relaxed, DFT PBE
data_CaLaAl2
_symmetry_space_group_name_H-M 'R 3 m'
_symmetry_Int_Tables_number 160
_symmetry_space_group_name_Hall 'R 3 -2"'
_cell_length_a 4.4175
_cell_length_b 4.4175
_cell_length_c 22.1377
_cell_angle_alpha 90.00
_cell_angle_beta 90.00
_cell_angle_gamma 120.00
loop_
_atom_site_label
_atom_site_type_symbol
_atom_site_fract_x
_atom_site_fract_y
_atom_site_fract_z
_atom_site_occupancy
Ca1 Ca 0.0000 0.0000 0.0000 1
La1 La 0.0000 0.0000 0.1891 1
Al1 Al 0.0000 0.0000 0.4246 1
Al2 Al 0.0000 0.0000 0.7703 1
# Raw total energy ... -45.73 eV per cell
# V ... 31.2 Å³ per atom


Record 7
# Ca4LaAl, relaxed, DFT PBE
data_Ca4LaAl
_symmetry_space_group_name_H-M 'F -4 3 m'
_symmetry_Int_Tables_number 216
_symmetry_space_group_name_Hall 'F -4 2 3'
_cell_length_a 9.618
_cell_length_b 9.618
_cell_length_c 9.618
_cell_angle_alpha 90.00
_cell_angle_beta 90.00
_cell_angle_gamma 90.00
loop_
_atom_site_label
_atom_site_type_symbol
_atom_site_fract_x
_atom_site_fract_y
_atom_site_fract_z
_atom_site_occupancy
Ca1 Ca 0.124 0.124 0.376 1
La1 La 0.000 0.000 0.000 1
Al1 Al 0.250 0.250 0.750 1
# Raw total energy ... -57.78 eV per cell
# V ... 37.1 Å³ per atom


Record 8
# CaLaAl2, relaxed, DFT PBE
data_CaLaAl2
_symmetry_space_group_name_H-M 'P m m m'
_symmetry_Int_Tables_number 47
_symmetry_space_group_name_Hall '-P 2 2'
_cell_length_a 3.696
_cell_length_b 3.737
_cell_length_c 7.684
_cell_angle_alpha 90.00
_cell_angle_beta 90.00
_cell_angle_gamma 90.00
loop_
_atom_site_label
_atom_site_type_symbol
_atom_site_fract_x
_atom_site_fract_y
_atom_site_fract_z
_atom_site_occupancy
Ca1 Ca 0.000 0.000 0.000 1
La1 La 0.000 0.000 0.500 1
Al1 Al 0.500 0.500 0.237 1
# Raw total energy ... -15.48 eV per cell
# V ... 26.5 Å³ per atom


Record 9
# CaLa3Al2, relaxed, DFT PBE
data_CaLa3Al2
_symmetry_space_group_name_H-M 'P m c 21'
_symmetry_Int_Tables_number 26
_symmetry_space_group_name_Hall 'P 2c -2'
_cell_length_a 5.419
_cell_length_b 9.759
_cell_length_c 6.904
_cell_angle_alpha 90.00
_cell_angle_beta 90.00
_cell_angle_gamma 90.00
loop_
_atom_site_label
_atom_site_type_symbol
_atom_site_fract_x
_atom_site_fract_y
_atom_site_fract_z
_atom_site_occupancy
Ca1 Ca 0.000 0.032 0.000 1
La1 La 0.000 0.328 0.701 1
La2 La 0.500 0.169 0.275 1
La3 La 0.500 0.462 0.981 1
Al1 Al 0.000 0.343 0.213 1
Al2 Al 0.500 0.156 0.763 1
# Raw total energy ... -51.58 eV per cell
# V ... 30.4 Å³ per atom


Record 10
# CaLaAl2, relaxed, DFT PBE
data_CaLaAl2
_symmetry_space_group_name_H-M 'P 4/m m m'
_symmetry_Int_Tables_number 123
_symmetry_space_group_name_Hall '-P 4 2'
_cell_length_a 5.289
_cell_length_b 5.289
_cell_length_c 3.849
_cell_angle_alpha 90.00
_cell_angle_beta 90.00
_cell_angle_gamma 90.00
loop_
_atom_site_label
_atom_site_type_symbol
_atom_site_fract_x
_atom_site_fract_y
_atom_site_fract_z
_atom_site_occupancy
Ca1 Ca 0.000 0.000 0.000 1
La1 La 0.500 0.500 0.000 1
Al1 Al 0.000 0.500 0.500 1
# Raw total energy ... -15.46 eV per cell
# V ... 26.9 Å³ per atom


Record 11
# Ca2LaAl2, relaxed, DFT PBE
data_Ca2LaAl2
_symmetry_space_group_name_H-M 'P 4/m b m'
_symmetry_Int_Tables_number 127
_symmetry_space_group_name_Hall '-P 4 2ab'
_cell_length_a 8.599
_cell_length_b 8.599
_cell_length_c 4.025
_cell_angle_alpha 90.00
_cell_angle_beta 90.00
_cell_angle_gamma 90.00
loop_
_atom_site_label
_atom_site_type_symbol
_atom_site_fract_x
_atom_site_fract_y
_atom_site_fract_z
_atom_site_occupancy
Ca1 Ca 0.177 0.323 0.000 1
La1 La 0.000 0.000 0.500 1
Al1 Al 0.117 0.617 0.500 1
# Raw total energy ... -34.06 eV per cell
# V ... 29.8 Å³ per atom


Record 12
# Ca2LaAl2, relaxed, DFT PBE
data_Ca2LaAl2
_symmetry_space_group_name_H-M 'I 4/m m m'
_symmetry_Int_Tables_number 139
_symmetry_space_group_name_Hall '-I 4 2'
_cell_length_a 4.726
_cell_length_b 4.726
_cell_length_c 13.712
_cell_angle_alpha 90.00
_cell_angle_beta 90.00
_cell_angle_gamma 90.00
loop_
_atom_site_label
_atom_site_type_symbol
_atom_site_fract_x
_atom_site_fract_y
_atom_site_fract_z
_atom_site_occupancy
Ca1 Ca 0.000 0.500 0.250 1
La1 La 0.000 0.000 0.000 1
Al1 Al 0.000 0.000 0.408 1
# Raw total energy ... -34.00 eV per cell
# V ... 30.6 Å³ per atom


Number 1: calculated density 3.6 g/cm3, formation energy -0.13 eV per atom. Number 2: calculated density 4.3 g/cm3, formation energy 0.87 eV per atom. Number 3: calculated density 3.8 g/cm3, formation energy 0.05 eV per atom. Number 4: calculated density 3.8 g/cm3, formation energy 0.19 eV per atom. Number 5: calculated density 3.0 g/cm3, formation energy -0.32 eV per atom. Number 6: calculated density 3.1 g/cm3, formation energy -0.21 eV per atom. Number 7: calculated density 2.4 g/cm3, formation energy 0.37 eV per atom. Number 8: calculated density 3.6 g/cm3, formation energy -0.27 eV per atom. Number 9: calculated density 4.6 g/cm3, formation energy -0.25 eV per atom. Number 10: calculated density 3.6 g/cm3, formation energy -0.26 eV per atom. Number 11: calculated density 3.0 g/cm3, formation energy -0.12 eV per atom. Number 12: calculated density 3.0 g/cm3, formation energy -0.12 eV per atom.